(1)
! AlCd4Rh PBE-GGA optimized geometry; values from VASP
&SYSTEM
  ibrav = 0, nat = 6, ntyp = 3
/
ATOMIC_SPECIES
Al 26.98 Al.upf
Cd 112.41 Cd.upf
Rh 102.91 Rh.upf
ATOMIC_POSITIONS angstrom
Al 0.000 0.000 0.000
Cd 4.887 2.937 2.937
Cd 2.937 4.887 2.937
Cd 2.937 2.937 4.887
Cd 4.887 4.887 4.887
Rh 1.956 1.956 1.956
CELL_PARAMETERS angstrom
0.000 3.912 3.912
3.912 0.000 3.912
3.912 3.912 0.000
! DOS(E_F) = 2.054 states/eV/f.u.
! raw total energy = -13.088 eV per cell

***

(2)
! CeZn12Au4 PBE-GGA optimized geometry; values from VASP
&SYSTEM
  ibrav = 0, nat = 17, ntyp = 3
/
ATOMIC_SPECIES
Ce 140.12 Ce.upf
Zn 65.41 Zn.upf
Au 196.97 Au.upf
ATOMIC_POSITIONS angstrom
Ce 0.000 0.000 0.000
Zn 3.159 1.300 0.000
Zn 5.715 1.300 0.000
Zn 4.437 -1.278 3.137
Zn 3.137 4.437 -1.278
Zn 1.300 0.000 3.159
Zn 4.437 1.278 3.137
Zn 0.000 3.159 1.300
Zn 3.137 4.437 1.278
Zn 1.300 0.000 5.715
Zn 0.000 5.715 1.300
Zn -1.278 3.137 4.437
Zn 1.278 3.137 4.437
Au 2.219 2.219 -2.219
Au 2.219 -2.219 2.219
Au -2.219 2.219 2.219
Au 2.219 2.219 2.219
CELL_PARAMETERS angstrom
-4.437 4.437 4.437
4.437 -4.437 4.437
4.437 4.437 -4.437
! DOS(E_F) = 15.604 states/eV/f.u.
! raw total energy = -34.135 eV per cell

***

(3)
! Cd2AsRu PBE-GGA optimized geometry; values from VASP
&SYSTEM
  ibrav = 0, nat = 8, ntyp = 3
/
ATOMIC_SPECIES
Cd 112.41 Cd.upf
As 74.92 As.upf
Ru 101.07 Ru.upf
ATOMIC_POSITIONS angstrom
Cd 0.000 0.000 1.984
Cd 0.000 0.000 6.847
Cd 2.042 2.139 1.984
Cd 2.042 2.139 6.847
As 0.000 2.139 4.416
As 2.042 0.000 4.416
Ru 0.000 2.139 0.000
Ru 2.042 0.000 0.000
CELL_PARAMETERS angstrom
4.085 0.000 0.000
0.000 4.278 0.000
0.000 0.000 8.831
! DOS(E_F) = 2.888 states/eV/f.u.
! raw total energy = -28.739 eV per cell

***

(4)
! RbNaHg4 PBE-GGA optimized geometry; values from VASP
&SYSTEM
  ibrav = 0, nat = 24, ntyp = 3
/
ATOMIC_SPECIES
Rb 85.47 Rb.upf
Na 22.99 Na.upf
Hg 200.59 Hg.upf
ATOMIC_POSITIONS angstrom
Rb 1.374 0.000 1.328
Rb -1.874 0.000 6.413
Rb 10.760 0.000 2.139
Rb 7.512 0.000 7.224
Na 4.443 2.395 4.276
Na 6.096 0.000 2.544
Na 2.789 0.000 6.008
Na 4.443 -2.395 4.276
Hg 6.035 4.469 2.615
Hg 2.850 4.469 5.937
Hg 4.253 2.101 1.186
Hg 1.353 2.093 4.215
Hg 1.348 2.301 7.501
Hg 7.537 2.301 1.051
Hg 1.353 -2.093 4.215
Hg 4.253 -2.101 1.186
Hg 4.632 2.101 7.365
Hg 7.532 2.093 4.336
Hg 1.348 -2.301 7.501
Hg 7.537 -2.301 1.051
Hg 7.532 -2.093 4.336
Hg 4.632 -2.101 7.365
Hg 6.035 -4.469 2.615
Hg 2.850 -4.469 5.937
CELL_PARAMETERS angstrom
8.538 -5.921 0.000
8.538 5.921 0.000
-8.191 0.000 8.552
! DOS(E_F) = 3.069 states/eV/f.u.
! offset from the most stable computed form = 0.106 eV per atom
! raw total energy = -17.525 eV per cell

***

(5)
! KPaInSe4 PBE-GGA optimized geometry; values from VASP
&SYSTEM
  ibrav = 0, nat = 14, ntyp = 4
/
ATOMIC_SPECIES
K 39.10 K.upf
Pa 231.04 Pa.upf
In 114.82 In.upf
Se 78.96 Se.upf
ATOMIC_POSITIONS angstrom
K 0.000 2.474 1.954
K 4.367 2.474 3.239
Pa 2.183 2.474 -2.597
Pa 2.183 -2.474 2.597
In 4.367 0.000 0.000
In 0.000 0.000 5.193
Se 4.367 4.255 -2.886
Se 4.367 -0.694 2.886
Se 2.635 2.474 0.110
Se 6.098 2.474 0.110
Se -1.732 2.474 5.084
Se 1.732 2.474 5.084
Se 0.000 5.643 2.308
Se 0.000 0.694 8.079
CELL_PARAMETERS angstrom
-4.367 4.949 5.193
4.367 -4.949 5.193
4.367 4.949 -5.193
! energy relative to the elements, uncorrected = -1.051 eV/atom
! DOS(E_F) = 1.221 states/eV/f.u.
! raw total energy = -69.255 eV per cell

***

(6)
! Cs2Cd3Ag PBE-GGA optimized geometry; values from VASP
&SYSTEM
  ibrav = 0, nat = 24, ntyp = 3
/
ATOMIC_SPECIES
Cs 132.91 Cs.upf
Cd 112.41 Cd.upf
Ag 107.87 Ag.upf
ATOMIC_POSITIONS angstrom
Cs 1.282 2.223 0.000
Cs 8.976 15.564 21.753
Cs 1.282 2.223 5.438
Cs 3.847 6.670 5.466
Cs 3.847 6.670 10.849
Cs 6.411 11.117 10.905
Cs 6.411 11.117 16.287
Cs 8.976 15.564 16.315
Cd 6.482 5.142 8.131
Cd 3.847 3.620 8.157
Cd 6.482 8.198 8.184
Cd 9.046 9.589 13.622
Cd 9.046 12.645 13.569
Cd 6.411 8.067 13.596
Cd 3.847 9.720 8.157
Cd 1.212 5.142 8.184
Cd 1.212 8.198 8.131
Cd 3.777 9.589 13.569
Cd 6.411 14.167 13.596
Cd 3.777 12.645 13.622
Ag 3.847 0.744 8.157
Ag 6.411 5.190 13.596
Ag 3.847 12.597 8.157
Ag 6.411 17.043 13.596
CELL_PARAMETERS angstrom
0.000 8.893 10.877
5.129 0.000 10.877
5.129 8.893 0.000
! DOS(E_F) = 3.422 states/eV/f.u.
! offset from the most stable computed form = 0.007 eV per atom
! raw total energy = -29.685 eV per cell

***

(7)
! LuPuGe PBE-GGA optimized geometry; values from VASP
&SYSTEM
  ibrav = 0, nat = 3, ntyp = 3
/
ATOMIC_SPECIES
Lu 174.97 Lu.upf
Pu 244.00 Pu.upf
Ge 72.64 Ge.upf
ATOMIC_POSITIONS angstrom
Lu 0.000 0.000 0.000
Pu 0.000 2.792 1.675
Ge 2.418 1.396 2.999
CELL_PARAMETERS angstrom
4.837 0.000 0.000
-2.418 4.189 0.000
0.000 0.000 3.619
! DOS(E_F) = 6.190 states/eV/f.u.
! raw total energy = -24.163 eV per cell

***

(8)
! Tb5Ga2Hg2 PBE-GGA optimized geometry; values from VASP
&SYSTEM
  ibrav = 0, nat = 18, ntyp = 3
/
ATOMIC_SPECIES
Tb 158.93 Tb.upf
Ga 69.72 Ga.upf
Hg 200.59 Hg.upf
ATOMIC_POSITIONS angstrom
Tb 0.000 0.000 0.000
Tb 5.974 2.434 5.153
Tb 5.974 1.415 1.337
Tb 10.264 2.434 5.153
Tb 10.264 1.415 1.337
Tb 8.119 0.000 3.816
Tb 5.974 -1.415 6.295
Tb 5.974 -2.434 2.479
Tb 10.264 -1.415 6.295
Tb 10.264 -2.434 2.479
Ga 8.119 2.932 2.902
Ga 8.119 0.916 6.718
Ga 8.119 -0.916 0.914
Ga 8.119 -2.932 4.730
Hg 3.514 0.000 0.000
Hg 4.606 0.000 3.816
Hg 11.633 0.000 3.816
Hg 12.725 0.000 0.000
CELL_PARAMETERS angstrom
8.119 -3.848 0.000
8.119 3.848 0.000
0.000 0.000 7.632
! DOS(E_F) = 5.834 states/eV/f.u.
! raw total energy = -68.645 eV per cell